Record 1
First-principles (GGA-PBE) data for crystalline AlZnSe2 at its relaxed geometry, as listed in Alexandria via LeMat-Bulk.

abc: 3.695 3.695 6.111
angles: 90.00 90.00 90.00
Space group P4mm (No. 99)
Asymmetric unit:
Al 0.000 0.000 0.000 [1 per cell]
Zn 0.500 0.500 0.518 [1 per cell]
Se 0.000 0.000 0.595 [1 per cell]
Se 0.500 0.500 0.089 [1 per cell]

Computed properties:
formation energy from raw total energies = -484 meV per atom
size of the total moment = 0.0 μB per formula unit


Record 2
First-principles (GGA-PBE) data for crystalline Al2ZnSe4 at its relaxed geometry, as listed in Alexandria via LeMat-Bulk.

abc: 10.693 10.693 10.693
angles: 90.00 90.00 90.00
Space group Fd-3m (No. 227, origin choice 2)
Asymmetric unit:
Al 0.000 0.000 0.000 [16 per cell]
Zn 0.125 0.125 0.625 [8 per cell]
Se 0.009 0.009 0.241 [32 per cell]

Computed properties:
formation energy from raw total energies = -804 meV per atom
size of the total moment = 0.0 μB per formula unit


Record 3
First-principles (GGA-PBE) data for crystalline AlZnSe2 at its relaxed geometry, as listed in Alexandria via LeMat-Bulk.

abc: 4.716 4.716 3.401
angles: 90.00 90.00 90.00
Space group P4/mmm (No. 123)
Asymmetric unit:
Al 0.000 0.000 0.000 [1 per cell]
Zn 0.500 0.500 0.000 [1 per cell]
Se 0.000 0.500 0.500 [2 per cell]

Computed properties:
formation energy from raw total energies = 10 meV per atom
size of the total moment = 0.0 μB per formula unit


Record 4
First-principles (GGA-PBE) data for crystalline AlZnSe2 at its relaxed geometry, as listed in Alexandria via LeMat-Bulk.

abc: 3.331 4.456 5.453
angles: 90.00 90.00 90.00
Space group Pmmm (No. 47)
Asymmetric unit:
Al 0.000 0.000 0.000 [1 per cell]
Zn 0.500 0.500 0.000 [1 per cell]
Se 0.000 0.500 0.500 [1 per cell]
Se 0.500 0.000 0.500 [1 per cell]

Computed properties:
formation energy from raw total energies = 223 meV per atom
size of the total moment = 0.0 μB per formula unit


Record 5
First-principles (GGA-PBE) data for crystalline AlZn3Se at its relaxed geometry, as listed in Alexandria via LeMat-Bulk.

abc: 4.967 4.967 4.967
angles: 90.00 90.00 90.00
Space group Pm-3m (No. 221)
Asymmetric unit:
Al 0.000 0.000 0.000 [1 per cell]
Zn 0.000 0.500 0.500 [3 per cell]
Se 0.500 0.500 0.500 [1 per cell]

Computed properties:
formation energy from raw total energies = 573 meV per atom
size of the total moment = 0.0 μB per formula unit


Record 6
First-principles (GGA-PBE) data for crystalline AlZnSe2 at its relaxed geometry, as listed in Alexandria via LeMat-Bulk.

abc: 5.266 5.215 6.091
angles: 90.00 90.00 90.00
Space group Amm2 (No. 38)
Asymmetric unit:
Al 0.000 0.000 0.000 [2 per cell]
Zn 0.500 0.000 0.647 [2 per cell]
Se 0.000 0.000 0.580 [2 per cell]
Se 0.500 0.000 0.071 [2 per cell]

Computed properties:
formation energy from raw total energies = -469 meV per atom
size of the total moment = 0.0 μB per formula unit


Record 7
First-principles (GGA-PBE) data for crystalline AlZnSe2 at its relaxed geometry, as listed in Alexandria via LeMat-Bulk.

abc: 2.969 2.969 9.482
angles: 90.00 90.00 90.00
Space group P4mm (No. 99)
Asymmetric unit:
Al 0.000 0.000 0.000 [1 per cell]
Zn 0.500 0.500 0.805 [1 per cell]
Se 0.000 0.000 0.586 [1 per cell]
Se 0.500 0.500 0.193 [1 per cell]

Computed properties:
formation energy from raw total energies = 85 meV per atom
size of the total moment = 0.0 μB per formula unit


Record 8
First-principles (GGA-PBE) data for crystalline Al2ZnSe4 at its relaxed geometry, as listed in Alexandria via LeMat-Bulk.

abc: 5.489 5.489 5.709
angles: 90.00 90.00 90.00
Space group P-42m (No. 111)
Asymmetric unit:
Al 0.000 0.500 0.000 [2 per cell]
Zn 0.000 0.000 0.500 [1 per cell]
Se 0.266 0.266 0.744 [4 per cell]

Computed properties:
formation energy from raw total energies = -825 meV per atom
size of the total moment = 0.0 μB per formula unit


Record 9
First-principles (GGA-PBE) data for crystalline Al2ZnSe4 at its relaxed geometry, as listed in Alexandria via LeMat-Bulk.

abc: 6.501 3.874 6.950
angles: 90.00 90.29 90.00
Space group Pm (No. 6)
Asymmetric unit:
Al 0.000 0.000 0.000 [1 per cell]
Al 0.449 0.000 0.319 [1 per cell]
Zn 0.989 0.500 0.516 [1 per cell]
Se 0.359 0.000 0.996 [1 per cell]
Se 0.369 0.500 0.521 [1 per cell]
Se 0.839 0.500 0.843 [1 per cell]
Se 0.841 0.000 0.328 [1 per cell]

Computed properties:
formation energy from raw total energies = -787 meV per atom
size of the total moment = 0.0 μB per formula unit


Record 10
First-principles (GGA-PBE) data for crystalline ZrAlSe4 at its relaxed geometry, as listed in Alexandria via LeMat-Bulk.

abc: 8.002 8.002 8.002
angles: 90.00 90.00 90.00
Space group F-43m (No. 216)
Asymmetric unit:
Zr 0.000 0.000 0.000 [4 per cell]
Al 0.250 0.250 0.750 [4 per cell]
Se 0.126 0.126 0.374 [16 per cell]

Computed properties:
formation energy from raw total energies = 423 meV per atom
size of the total moment = 0.0 μB per formula unit


Record 11
First-principles (GGA-PBE) data for crystalline ZrAl3Se at its relaxed geometry, as listed in Alexandria via LeMat-Bulk.

abc: 4.830 4.830 4.830
angles: 90.00 90.00 90.00
Space group Pm-3m (No. 221)
Asymmetric unit:
Zr 0.000 0.000 0.000 [1 per cell]
Al 0.000 0.500 0.500 [3 per cell]
Se 0.500 0.500 0.500 [1 per cell]

Computed properties:
formation energy from raw total energies = 593 meV per atom
size of the total moment = 0.0 μB per formula unit


Record 12
First-principles (GGA-PBE) data for crystalline Zr3AlSe6 at its relaxed geometry, as listed in Alexandria via LeMat-Bulk.

abc: 10.738 13.223 6.444
angles: 90.00 90.00 90.00
Space group Cmc2_1 (No. 36)
Asymmetric unit:
Zr 0.000 0.086 0.000 [4 per cell]
Zr 0.171 0.410 0.886 [8 per cell]
Al 0.000 0.286 0.360 [4 per cell]
Se 0.000 0.276 0.727 [4 per cell]
Se 0.000 0.456 0.216 [4 per cell]
Se 0.166 0.044 0.695 [8 per cell]
Se 0.172 0.222 0.163 [8 per cell]

Computed properties:
formation energy from raw total energies = -1087 meV per atom
size of the total moment = 0.1 μB per formula unit


Record 13
First-principles (GGA-PBE) data for crystalline ZrAlSe4 at its relaxed geometry, as listed in Alexandria via LeMat-Bulk.

abc: 6.218 3.688 6.585
angles: 90.00 96.79 90.00
Space group P2/m (No. 10)
Asymmetric unit:
Zr 0.000 0.000 0.000 [1 per cell]
Al 0.000 0.500 0.500 [1 per cell]
Se 0.234 0.000 0.677 [2 per cell]
Se 0.259 0.500 0.197 [2 per cell]

Computed properties:
formation energy from raw total energies = -883 meV per atom
size of the total moment = 0.0 μB per formula unit


Record 14
First-principles (GGA-PBE) data for crystalline Zr2AlSe6 at its relaxed geometry, as listed in Alexandria via LeMat-Bulk.

abc: 6.304 6.304 11.633
angles: 90.00 90.00 90.00
Space group P4_2/mnm (No. 136)
Asymmetric unit:
Zr 0.000 0.000 0.162 [4 per cell]
Al 0.000 0.000 0.500 [2 per cell]
Se 0.193 0.193 0.339 [8 per cell]
Se 0.209 0.209 0.000 [4 per cell]

Computed properties:
formation energy from raw total energies = -931 meV per atom
size of the total moment = 0.0 μB per formula unit